(1)
VASP calculation (GGA-PBE) on a geometry-optimized SrPdBr4 structure.

Properties
Mass density in g/cm3: 3.92
Fermi-level density of states in states/eV/atom: 0.06
Magnetization in μB/cell: 4.0
Calculated total energy in eV per cell: -40.3

Cell and atoms, written as POSCAR:
```
SrPdBr4
1.0
7.483 -0.276 -0.392
2.273 7.135 -0.392
0.431 0.303 8.021
Br Pd Sr
8 2 2
Cartesian
3.482 5.765 3.623
2.544 1.790 5.836
3.798 5.987 7.625
6.388 1.174 -0.387
2.331 1.637 1.825
7.642 5.371 1.402
6.704 1.396 3.615
7.856 5.524 5.412
2.381 7.210 1.614
7.805 -0.049 5.624
3.957 0.013 3.814
1.136 3.567 -0.196
```

***

(2)
VASP calculation (GGA-PBE) on a geometry-optimized MgTa4 structure.

Properties
Mass density in g/cm3: 11.84
Fermi-level density of states in states/eV/atom: 0.94
Magnetization in μB/cell: 0.0
Formation enthalpy at 0 K in eV per atom: 0.78

Cell and atoms, written as POSCAR:
```
MgTa4
1.0
6.796 1.559 1.700
4.482 5.297 -1.832
-6.537 -1.908 2.264
Ta Mg
4 1
Cartesian
1.792 3.409 0.183
6.768 4.115 -0.080
4.510 2.742 -0.053
2.949 1.540 1.949
0.000 0.000 0.000
```

***

(3)
VASP calculation (GGA-PBE) on a geometry-optimized Tl2VRe structure.

Properties
Mass density in g/cm3: 12.84
Fermi-level density of states in states/eV/atom: 1.51
Magnetization in μB/cell: 5.5
Formation enthalpy at 0 K in eV per atom: 1.31

Cell and atoms, written as POSCAR:
```
Tl2VRe
1.0
7.657 0.000 0.000
0.000 7.657 0.000
3.829 3.829 2.850
Re Tl V
2 4 2
Cartesian
7.657 3.829 1.425
0.000 0.000 0.000
9.571 9.589 2.138
1.897 5.743 0.713
5.743 5.725 2.138
5.761 1.914 0.713
3.829 3.829 0.000
3.829 7.657 1.425
```

***

(4)
VASP calculation (GGA-PBE) on a geometry-optimized Cs2Pt2F structure.

Properties
Mass density in g/cm3: 6.83
Fermi-level density of states in states/eV/atom: 1.37
Magnetization in μB/cell: 1.0
Calculated total energy in eV per cell: -17.6

Cell and atoms, written as POSCAR:
```
Cs2Pt2F
1.0
6.817 0.000 0.000
0.000 6.817 0.000
3.409 3.409 3.533
Pt Cs F
2 2 1
Cartesian
3.409 3.409 1.223
6.817 6.817 2.310
3.409 6.817 1.766
6.817 3.409 1.766
0.000 0.000 0.000
```

***

(5)
VASP calculation (GGA-PBE) on a geometry-optimized VZn2Rh2 structure.

Properties
Mass density in g/cm3: 8.76
Fermi-level density of states in states/eV/atom: 0.85
Magnetization in μB/cell: 2.9
Formation enthalpy at 0 K in eV per atom: -0.11

Cell and atoms, written as POSCAR:
```
VZn2Rh2
1.0
6.912 0.000 0.000
0.000 6.912 0.000
0.000 0.000 3.077
V Zn Rh
2 4 4
Cartesian
0.000 0.000 0.000
3.456 3.456 0.000
1.055 4.511 1.539
4.511 5.857 1.539
2.401 1.055 1.539
5.857 2.401 1.539
4.468 1.012 0.000
5.899 4.468 0.000
1.012 2.443 0.000
2.443 5.899 0.000
```

***

(6)
VASP calculation (GGA-PBE) on a geometry-optimized ZrVB3 structure.

Properties
Mass density in g/cm3: 5.83
Fermi-level density of states in states/eV/atom: 0.22
Magnetization in μB/cell: 0.0
Formation enthalpy at 0 K in eV per atom: -0.83

Cell and atoms, written as POSCAR:
```
ZrVB3
1.0
-2.673 1.990 0.312
-0.726 -0.507 -2.984
-3.958 -8.510 2.408
V B Zr
2 6 2
Cartesian
-2.735 -3.489 -1.177
-4.622 -3.537 0.913
-5.221 -7.281 1.695
-4.007 -5.296 -0.561
-2.135 0.254 -1.959
-3.349 -1.731 0.297
-4.169 -5.787 1.185
-3.187 -1.240 -1.449
-6.396 -5.794 0.104
-0.961 -1.233 -0.369
```

***

(7)
VASP calculation (GGA-PBE) on a geometry-optimized Zn2P2Pb structure.

Properties
Mass density in g/cm3: 6.62
Fermi-level density of states in states/eV/atom: 0.26
Magnetization in μB/cell: 0.0
Formation enthalpy at 0 K in eV per atom: -0.01

Cell and atoms, written as POSCAR:
```
Zn2P2Pb
1.0
3.894 0.000 0.000
0.000 3.894 0.000
1.947 1.947 6.622
Zn Pb P
2 1 2
Cartesian
3.894 1.947 3.311
1.947 3.894 3.311
0.000 0.000 0.000
3.894 3.894 4.859
1.947 1.947 1.763
```

***

(8)
VASP calculation (GGA-PBE) on a geometry-optimized Cs6K3Na structure.

Properties
Mass density in g/cm3: 1.63
Fermi-level density of states in states/eV/atom: 0.98
Magnetization in μB/cell: 0.0
Formation enthalpy at 0 K in eV per atom: 0.03

Cell and atoms, written as POSCAR:
```
Cs6K3Na
1.0
7.437 0.000 0.002
0.000 14.349 0.000
0.005 0.000 17.933
Cs K Na
12 6 2
Cartesian
3.724 2.288 16.864
3.723 7.618 13.218
3.722 3.062 11.069
0.003 4.887 7.896
0.005 10.237 15.832
0.002 13.906 4.250
3.721 11.286 6.866
3.719 12.061 1.072
7.438 4.112 2.104
7.440 9.462 10.039
3.719 6.731 4.718
7.440 0.443 13.685
3.718 7.174 0.001
7.436 9.190 2.820
3.720 12.333 11.785
3.722 2.015 6.150
0.003 0.000 8.967
0.006 5.159 15.116
3.721 7.174 8.968
0.000 0.000 0.000
```

***

(9)
VASP calculation (GGA-PBE) on a geometry-optimized Cs2LaTeI6 structure.

Properties
Mass density in g/cm3: 3.73
Fermi-level density of states in states/eV/atom: 0.88
Magnetization in μB/cell: 1.0
Calculated total energy in eV per cell: -29.8

Cell and atoms, written as POSCAR:
```
Cs2LaTeI6
1.0
9.726 0.000 0.000
0.000 9.726 0.000
4.863 4.863 6.094
I Cs La Te
6 2 1 1
Cartesian
7.511 2.216 0.000
9.726 9.726 3.185
4.863 4.863 2.910
2.216 2.216 0.000
7.511 7.511 0.000
2.216 7.511 0.000
4.863 9.726 3.047
9.726 4.863 3.047
0.000 0.000 0.000
4.863 4.863 0.000
```

***

(10)
VASP calculation (GGA-PBE) on a geometry-optimized ReHgTe2 structure.

Properties
Mass density in g/cm3: 11.72
Fermi-level density of states in states/eV/atom: 0.73
Magnetization in μB/cell: 2.0
Calculated total energy in eV per cell: -15.0

Cell and atoms, written as POSCAR:
```
ReHgTe2
1.0
-0.450 5.007 1.302
-0.696 -1.353 4.965
3.330 0.166 0.512
Hg Te Re
1 2 1
Cartesian
1.440 2.586 0.907
0.000 0.000 0.000
-0.573 1.827 3.133
1.317 -0.594 2.738
```

***

(11)
VASP calculation (GGA-PBE) on a geometry-optimized TiZnPt6 structure.

Properties
Mass density in g/cm3: 17.47
Fermi-level density of states in states/eV/atom: 0.88
Magnetization in μB/cell: 0.0
Formation enthalpy at 0 K in eV per atom: -0.66

Cell and atoms, written as POSCAR:
```
TiZnPt6
1.0
3.944 0.000 0.000
0.000 3.944 0.000
0.000 0.000 7.843
Ti Pt Zn
1 6 1
Cartesian
0.000 0.000 0.000
0.000 1.972 1.931
1.972 0.000 5.912
1.972 0.000 1.931
1.972 1.972 3.922
0.000 1.972 5.912
1.972 1.972 0.000
0.000 0.000 3.922
```

***

(12)
VASP calculation (GGA-PBE) on a geometry-optimized ZnPt2W structure.

Properties
Mass density in g/cm3: 17.52
Fermi-level density of states in states/eV/atom: 0.32
Magnetization in μB/cell: 0.0
Formation enthalpy at 0 K in eV per atom: -0.40

Cell and atoms, written as POSCAR:
```
ZnPt2W
1.0
2.797 0.000 0.000
0.000 2.797 0.000
0.000 0.000 7.745
W Zn Pt
1 1 2
Cartesian
1.399 1.399 3.873
1.399 1.399 0.000
0.000 0.000 1.913
0.000 0.000 5.832
```